Record 1
! AcIn2Au (PBE-GGA, optimized geometry); values from VASP
&SYSTEM
  ibrav = 0, nat = 4, ntyp = 3
/
ATOMIC_SPECIES
Ac 227.00 Ac.upf
In 114.82 In.upf
Au 196.97 Au.upf
CELL_PARAMETERS angstrom
3.7256 0.0000 0.0000
0.0000 3.7256 0.0000
0.0000 0.0000 7.7496
ATOMIC_POSITIONS crystal
Ac 0.5000 0.5000 0.5000
In 0.0000 0.0000 0.1962
In 0.0000 0.0000 0.8038
Au 0.5000 0.5000 0.0000
! Calculated total energy   -3.5209 eV/atom
! Energy above the lowest structure with this stoichiometry   0.242 eV/atom
! Calculated density   10.090 g/cm3
! Energy of formation from the pure elements   -29.5 kJ/mol of atoms

***

Record 2
! Cd2W (PBE-GGA, optimized geometry); values from VASP
&SYSTEM
  ibrav = 0, nat = 12, ntyp = 2
/
ATOMIC_SPECIES
Cd 112.41 Cd.upf
W 183.84 W.upf
CELL_PARAMETERS angstrom
-6.0637 0.3885 2.4890
1.6458 -4.3008 4.6807
1.9072 4.9464 3.8744
ATOMIC_POSITIONS crystal
Cd 0.7499 0.2499 0.2501
Cd 0.7499 0.2501 0.7501
Cd 0.2501 0.7501 0.7499
Cd 0.7501 0.7499 0.2501
Cd 0.2499 0.2499 0.2499
Cd 0.2499 0.2501 0.7499
Cd 0.7501 0.7501 0.7501
Cd 0.2501 0.7499 0.2499
W 0.0000 0.0000 0.0000
W 0.5000 0.0000 0.5000
W 0.0000 0.5000 0.5000
W 0.5000 0.5000 0.0000
! Calculated total energy   -3.5273 eV/atom
! Energy above the lowest structure with this stoichiometry   0.958 eV/atom
! Calculated density   9.588 g/cm3
! Energy of formation from the pure elements   135.1 kJ/mol of atoms

***

Record 3
! Be2PPb (PBE-GGA, optimized geometry); values from VASP
&SYSTEM
  ibrav = 0, nat = 4, ntyp = 3
/
ATOMIC_SPECIES
Be 9.01 Be.upf
P 30.97 P.upf
Pb 207.20 Pb.upf
CELL_PARAMETERS angstrom
4.5995 0.0000 0.0000
2.2998 3.9833 0.0000
2.2998 1.3278 3.7555
ATOMIC_POSITIONS crystal
Be 0.0000 0.0000 0.0000
Be 0.2500 0.2500 0.2500
P 0.5000 0.5000 0.5000
Pb 0.7500 0.7500 0.7500
! Calculated total energy   -3.1509 eV/atom
! Energy above the lowest structure with this stoichiometry   0.846 eV/atom
! Calculated density   6.183 g/cm3
! Energy of formation from the pure elements   95.7 kJ/mol of atoms

***

Record 4
! RbRuRh (PBE-GGA, optimized geometry); values from VASP
&SYSTEM
  ibrav = 0, nat = 6, ntyp = 3
/
ATOMIC_SPECIES
Ru 101.07 Ru.upf
Rb 85.47 Rb.upf
Rh 102.91 Rh.upf
CELL_PARAMETERS angstrom
5.1758 -2.9882 0.0000
0.0000 5.9765 0.0000
0.0000 0.0000 9.0744
ATOMIC_POSITIONS crystal
Ru 0.0000 0.0000 0.7500
Ru 0.0000 0.0000 0.2500
Rb 0.6667 0.3333 0.7500
Rb 0.3333 0.6667 0.2500
Rh 0.0000 0.0000 0.5000
Rh 0.0000 0.0000 0.0000
! Calculated total energy   -4.1778 eV/atom
! Energy above the lowest structure with this stoichiometry   1.199 eV/atom
! Calculated density   3.425 g/cm3
! Energy of formation from the pure elements   162.8 kJ/mol of atoms

***

Record 5
! Y2SnOs (PBE-GGA, optimized geometry); values from VASP
&SYSTEM
  ibrav = 0, nat = 8, ntyp = 3
/
ATOMIC_SPECIES
Y 88.91 Y.upf
Sn 118.71 Sn.upf
Os 190.23 Os.upf
CELL_PARAMETERS angstrom
-2.3792 -7.4247 -2.2356
7.7484 -2.1880 -0.9795
2.7962 -5.7274 1.3326
ATOMIC_POSITIONS crystal
Y 0.6804 0.1250 0.2500
Y 0.0696 0.6250 0.2500
Y 0.3750 0.3196 0.7500
Y 0.8750 0.9304 0.7500
Sn 0.5000 0.5000 0.0000
Sn 0.2500 0.7500 0.5000
Os 0.7500 0.2500 0.5000
Os 0.0000 0.0000 0.0000
! Calculated total energy   -6.9668 eV/atom
! Calculated density   7.970 g/cm3
! Energy of formation from the pure elements   7.1 kJ/mol of atoms

***

Record 6
! PrLu2Hf (PBE-GGA, optimized geometry); values from VASP
&SYSTEM
  ibrav = 0, nat = 4, ntyp = 3
/
ATOMIC_SPECIES
Lu 174.97 Lu.upf
Pr 140.91 Pr.upf
Hf 178.49 Hf.upf
CELL_PARAMETERS angstrom
3.3595 0.0000 0.0000
1.6798 2.9095 0.0000
1.6798 0.9698 11.8793
ATOMIC_POSITIONS crystal
Lu 0.9051 0.9051 0.2846
Lu 0.0949 0.0949 0.7154
Pr 0.0000 0.0000 0.0000
Hf 0.5000 0.5000 0.5000
! Calculated total energy   -5.7632 eV/atom
! Energy above the lowest structure with this stoichiometry   0.025 eV/atom
! Calculated density   9.572 g/cm3
! Energy of formation from the pure elements   17.4 kJ/mol of atoms

***

Record 7
! Dy8Y2Tm3 (PBE-GGA, optimized geometry); values from VASP
&SYSTEM
  ibrav = 0, nat = 13, ntyp = 3
/
ATOMIC_SPECIES
Dy 162.50 Dy.upf
Tm 168.93 Tm.upf
Y 88.91 Y.upf
CELL_PARAMETERS angstrom
-2.2412 -4.9016 -1.3540
5.4265 -1.0523 -5.1726
3.0563 -4.0414 9.5734
ATOMIC_POSITIONS crystal
Dy 0.0001 0.6644 0.3286
Dy 0.0000 0.8692 0.7383
Dy 0.5000 0.8184 0.2135
Dy 0.5000 0.1816 0.7865
Dy 0.9999 0.3356 0.6714
Dy 0.0000 0.1308 0.2617
Dy 0.5000 0.3952 0.2135
Dy 0.5000 0.6048 0.7865
Tm 0.0000 0.7158 0.9999
Tm 0.0000 0.2842 0.0001
Tm 0.5000 0.0000 0.0000
Y 0.4999 0.2413 0.4824
Y 0.5001 0.7587 0.5176
! Calculated total energy   -4.6276 eV/atom
! Calculated density   7.720 g/cm3
! Energy of formation from the pure elements   22.3 kJ/mol of atoms

***

Record 8
! YMgMo2 (PBE-GGA, optimized geometry); values from VASP
&SYSTEM
  ibrav = 0, nat = 4, ntyp = 3
/
ATOMIC_SPECIES
Mo 95.94 Mo.upf
Mg 24.30 Mg.upf
Y 88.91 Y.upf
CELL_PARAMETERS angstrom
2.8349 -0.0933 0.0000
-0.1436 2.8328 0.0000
0.0000 0.0000 9.5427
ATOMIC_POSITIONS crystal
Mo 0.0000 0.0000 0.9858
Mo 0.0000 0.0000 0.5142
Mg 0.5000 0.5000 0.7500
Y 0.5000 0.5000 0.2500
! Calculated total energy   -6.9160 eV/atom
! Calculated density   6.622 g/cm3
! Energy of formation from the pure elements   49.6 kJ/mol of atoms

***

Record 9
! YOsC2 (PBE-GGA, optimized geometry); values from VASP
&SYSTEM
  ibrav = 0, nat = 8, ntyp = 3
/
ATOMIC_SPECIES
Os 190.23 Os.upf
C 12.01 C.upf
Y 88.91 Y.upf
CELL_PARAMETERS angstrom
-1.6997 4.0202 2.1679
-4.5520 -1.6812 -0.4514
-2.7211 -1.1829 5.5379
ATOMIC_POSITIONS crystal
Os 0.0000 0.0000 0.0000
Os 0.7500 0.2500 0.5000
C 0.0315 0.6250 0.2500
C 0.8750 0.9685 0.7500
C 0.3750 0.2815 0.7500
C 0.7185 0.1250 0.2500
Y 0.2500 0.7500 0.5000
Y 0.5000 0.5000 0.0000
! Calculated total energy   -8.7813 eV/atom
! Energy above the lowest structure with this stoichiometry   0.000 eV/atom
! Calculated density   8.069 g/cm3
! Energy of formation from the pure elements   24.5 kJ/mol of atoms

***

Record 10
! Zr4PaHg3 (PBE-GGA, optimized geometry); values from VASP
&SYSTEM
  ibrav = 0, nat = 8, ntyp = 3
/
ATOMIC_SPECIES
Pa 231.04 Pa.upf
Zr 91.22 Zr.upf
Hg 200.59 Hg.upf
CELL_PARAMETERS angstrom
-0.7150 -2.4411 -2.5686
-2.1235 -1.8025 2.3042
-10.6494 7.3753 -4.0449
ATOMIC_POSITIONS crystal
Pa 0.5000 0.5000 0.0000
Zr 0.0000 0.0000 0.1244
Zr 0.0000 0.0000 0.8756
Zr 0.0000 0.0000 0.6220
Zr 0.0000 0.0000 0.3780
Hg 0.5000 0.5000 0.2512
Hg 0.5000 0.5000 0.7488
Hg 0.5000 0.5000 0.5000
! Calculated total energy   -5.6446 eV/atom
! Calculated density   11.215 g/cm3
! Energy of formation from the pure elements   -6.8 kJ/mol of atoms

***

Record 11
! Pr5Y4Th2 (PBE-GGA, optimized geometry); values from VASP
&SYSTEM
  ibrav = 0, nat = 11, ntyp = 3
/
ATOMIC_SPECIES
Y 88.91 Y.upf
Th 232.04 Th.upf
Pr 140.91 Pr.upf
CELL_PARAMETERS angstrom
3.5415 0.0000 0.0000
0.0000 9.3094 0.0000
-1.7707 -4.6547 11.8953
ATOMIC_POSITIONS crystal
Y 0.0000 0.3122 0.0000
Y 0.0000 0.6878 0.0000
Y 0.4025 0.4025 0.8051
Y 0.5975 0.5975 0.1949
Th 0.7320 0.7320 0.4639
Th 0.2680 0.2680 0.5361
Pr 0.8522 0.0518 0.7043
Pr 0.8522 0.6525 0.7043
Pr 0.1478 0.9482 0.2957
Pr 0.5000 0.0000 0.0000
Pr 0.1478 0.3475 0.2957
! Calculated total energy   -5.6293 eV/atom
! Energy above the lowest structure with this stoichiometry   0.127 eV/atom
! Calculated density   6.454 g/cm3
! Energy of formation from the pure elements   23.4 kJ/mol of atoms

***

Record 12
! PmAu2F8 (PBE-GGA, optimized geometry); values from VASP
&SYSTEM
  ibrav = 0, nat = 11, ntyp = 3
/
ATOMIC_SPECIES
F 19.00 F.upf
Au 196.97 Au.upf
Pm 145.00 Pm.upf
CELL_PARAMETERS angstrom
-0.9968 5.3325 -2.0449
3.3932 -1.1168 -4.5662
-5.5203 -3.9726 0.5498
ATOMIC_POSITIONS crystal
F 0.6870 0.2219 0.7638
F 0.4581 0.9232 0.2362
F 0.7781 0.3130 0.2362
F 0.3130 0.4581 0.2362
F 0.9232 0.7781 0.2362
F 0.0768 0.5419 0.7638
F 0.2219 0.0768 0.7638
F 0.5419 0.6870 0.7638
Au 0.2500 0.7500 0.5000
Au 0.7500 0.2500 0.5000
Pm 0.5000 0.5000 0.0000
! Calculated total energy   -4.4525 eV/atom
! Calculated density   6.258 g/cm3
! Energy relative to the elements, uncorrected   -22.70 eV/f.u.